# HfCdSb2O8 | Alexandria | PBE | relaxed
# ΔE_f (raw)   -1863 meV/atom
# Total magnetic moment   0.00 Bohr magnetons per cell
data_HfCdSb2O8
_chemical_formula_sum 'Hf1 Cd1 Sb2 O8'
_symmetry_space_group_name_H-M 'P 1'
_symmetry_Int_Tables_number 1
_cell_length_a 4.916
_cell_length_b 4.912
_cell_length_c 6.415
_cell_angle_alpha 90.00
_cell_angle_beta 90.00
_cell_angle_gamma 87.84
loop_
_symmetry_equiv_pos_as_xyz
'x,y,z'
loop_
_atom_site_label
_atom_site_type_symbol
_atom_site_fract_x
_atom_site_fract_y
_atom_site_fract_z
_atom_site_occupancy
Hf1 Hf 0.000 0.000 0.000 1
Cd1 Cd 0.000 0.000 0.500 1
Sb1 Sb 0.500 0.500 0.749 1
Sb2 Sb 0.500 0.500 0.251 1
O1 O 0.211 0.788 0.227 1
O2 O 0.690 0.692 0.000 1
O3 O 0.789 0.212 0.227 1
O4 O 0.789 0.212 0.773 1
O5 O 0.310 0.308 0.000 1
O6 O 0.211 0.788 0.773 1
O7 O 0.678 0.679 0.500 1
O8 O 0.322 0.321 0.500 1